5
Lattice="-1.6401 0.3989 3.7129 -2.4458 -3.1791 -0.7388 4.2649 -3.8141 2.2937" Properties=species:S:1:pos:R:3 comment="MgBeIN2, optimized geometry, DFT PBE" polymorph_energy_ev_per_fu=2.29 magnetic_moment_mub_per_cell=3.6 sg="P4/mmm (123)" formation_energy_uncorrected_ev_per_atom=1.49 pbc="T T T"
Mg 0.0000 0.0000 0.0000
N -1.2229 -1.5896 -0.3694
N -0.8200 0.1995 1.8564
Be 0.0895 -3.2972 2.6339
I 2.1324 -1.9071 1.1469